## CaBi3PbWClO8 (PBE with a Hubbard U)

Data for crystalline CaBi3PbWClO8 at its relaxed geometry.

Structure (CIF):
```
data_CaBi3PbWClO8
_cell_length_a 3.957
_cell_length_b 4.103
_cell_length_c 17.569
_cell_angle_alpha 90.00
_cell_angle_beta 90.00
_cell_angle_gamma 90.00
_space_group_name_H-M_alt 'P 1'
_space_group_IT_number 1
loop_
_space_group_symop_operation_xyz
'x,y,z'
loop_
_atom_site_label
_atom_site_fract_x
_atom_site_fract_y
_atom_site_fract_z
_atom_site_occupancy
Ca1 0.000 0.000 0.000 1
Bi1 0.000 0.500 0.660 1
Bi2 0.500 0.000 0.238 1
Bi3 0.500 0.000 0.815 1
Pb1 0.000 0.500 0.377 1
W1 0.500 0.000 0.545 1
Cl1 0.000 0.500 0.101 1
O1 0.000 0.000 0.297 1
O2 0.000 0.000 0.564 1
O3 0.000 0.000 0.881 1
O4 0.500 0.000 0.440 1
O5 0.500 0.000 0.662 1
O6 0.500 0.500 0.292 1
O7 0.500 0.500 0.562 1
O8 0.500 0.500 0.759 1
```

Properties
Total DFT energy (no corrections) ... -5.78 eV per atom
Total moment ... 1.028 Bohr magnetons per cell